# 1
Below is an optimized crystal structure of Pa6Ni6Pt, with properties calculated at the GGA-PBE level.

Unit cell a=5.2644 b=7.2427 c=7.2427 alpha=85.96 beta=68.69 gamma=68.69
With the nearest neighbours (Å) after each atom.
Element x y z (fractional)
Ni1 0.0000 0.0000 0.5000  4 Ni 2.63-2.65, 6 Pa 2.72-2.90
Ni2 0.5000 0.7480 0.2520  4 Ni 2.65, 6 Pa 2.70-2.93
Pa1 0.3316 0.1684 0.1684  6 Ni 2.90-2.93, 3 Pa 3.01-3.10, 2 Pt 3.05
Ni3 0.0000 0.5000 0.0000  4 Ni 2.63-2.65, 6 Pa 2.72-2.90
Pt1 0.0000 0.0000 0.0000  8 Pa 3.02-3.07
Ni4 0.5000 0.5000 0.0000  4 Ni 2.63-2.65, 6 Pa 2.72-2.90
Ni5 0.5000 0.2520 0.7480  4 Ni 2.65, 6 Pa 2.70-2.93
Ni6 0.5000 0.0000 0.5000  4 Ni 2.63-2.65, 6 Pa 2.72-2.90
Pa2 0.6684 0.8316 0.8316  6 Ni 2.90-2.93, 3 Pa 3.01-3.10, 2 Pt 3.05
Pa3 0.0000 0.6886 0.3114  6 Ni 2.70-2.72
Pa4 0.0000 0.3114 0.6886  6 Ni 2.70-2.72
Pa5 0.3279 0.6721 0.6721  6 Ni 2.89-2.92, 3 Pa 3.01-3.17, 1 Pt 3.02
Pa6 0.6721 0.3279 0.3279  6 Ni 2.89-2.92, 3 Pa 3.01-3.17, 1 Pt 3.02

Properties
**Space group**: Immm, No. 71

---

# 2
Below is an optimized crystal structure of Pa2NiPt8, with properties calculated at the GGA-PBE level.

Unit cell a=4.2074 b=4.2074 c=10.9977 alpha=90.00 beta=90.00 gamma=90.00
With the nearest neighbours (Å) after each atom.
Element x y z (fractional)
Pt1 0.5000 0.0000 0.8669  2 Ni 2.56, 2 Pa 2.83
Pt2 0.5000 0.5000 0.3176  8 Pt 2.91-2.92, 4 Pa 2.98
Pa1 0.0000 0.0000 0.6948  12 Pt 2.83-3.00
Pt3 0.0000 0.5000 0.8669  2 Ni 2.56, 2 Pa 2.83
Ni1 0.0000 0.0000 0.0000  8 Pt 2.56
Pa2 0.0000 0.0000 0.3052  12 Pt 2.83-3.00
Pt4 0.5000 0.0000 0.5000  8 Pt 2.91-2.98, 4 Pa 3.00
Pt5 0.0000 0.5000 0.5000  8 Pt 2.91-2.98, 4 Pa 3.00
Pt6 0.0000 0.5000 0.1331  2 Ni 2.56, 2 Pa 2.83
Pt7 0.5000 0.5000 0.6824  8 Pt 2.91-2.92, 4 Pa 2.98
Pt8 0.5000 0.0000 0.1331  2 Ni 2.56, 2 Pa 2.83

Properties
**Space group**: P4/mmm, No. 123

---

# 3
Below is an optimized crystal structure of PaNi3Pt4, with properties calculated at the GGA-PBE level.

Unit cell a=4.2378 b=5.2772 c=6.0855 alpha=101.19 beta=110.38 gamma=90.00
With the nearest neighbours (Å) after each atom.
Element x y z (fractional)
Pt1 0.2850 0.1723 0.5700  4 Ni 2.51-2.69, 4 Pt 2.72-2.80
Pt2 0.7150 0.8277 0.4300  4 Ni 2.51-2.69, 4 Pt 2.72-2.80
Pt3 0.8769 0.4735 0.7538  5 Ni 2.53-2.61, 3 Pt 2.72-2.76
Pa1 0.0000 0.0000 0.0000  4 Pt 2.84-3.11, 4 Ni 2.91
Ni1 0.3455 0.7416 0.6909  1 Ni 2.38, 4 Pt 2.51-2.61
Ni2 0.5000 0.5000 0.0000  2 Ni 2.38, 4 Pt 2.53
Ni3 0.6545 0.2584 0.3091  1 Ni 2.38, 4 Pt 2.51-2.61
Pt4 0.1231 0.5265 0.2462  5 Ni 2.53-2.61, 3 Pt 2.72-2.76

Properties
**Space group**: C2/m, No. 12

---

Calculated values (eV/atom) of ΔE_f for the records, taken in order: -0.320 -0.669 -0.443.